First-principles (PBE-GGA) data for a relaxed structure of Tb2NdHg5, as listed in the Alexandria database.

a = 5.265 Å, b = 5.265 Å, c = 8.270 Å
α = 108.56°, β = 108.56°, γ = 90.00°
Fractional coordinates of all 8 atoms:
Hg1 0.627 0.127 0.255
Hg2 0.127 0.627 0.255
Hg3 0.500 0.500 0.000
Hg4 0.373 0.873 0.745
Hg5 0.873 0.373 0.745
Tb1 0.733 0.733 0.465
Tb2 0.267 0.267 0.535
Nd1 0.000 0.000 0.000

## Properties
The magnetic moment comes out at 0.000 μB/atom. The value obtained for the total energy is -2.39 eV per atom. Its space group is I4/mmm (139).